Here is an optimized crystal structure of Re2PN2 from the Alexandria database. Energies are from PBE.

```
data_Re2PN2
_space_group_name_H-M_alt 'I 4/m m m'
_space_group_IT_number 139
_space_group_name_Hall '-I 4 2'
_cell_length_a 3.917
_cell_length_b 3.917
_cell_length_c 7.734
_cell_angle_alpha 90.00
_cell_angle_beta 90.00
_cell_angle_gamma 90.00
loop_
_atom_site_label
_atom_site_type_symbol
_atom_site_fract_x
_atom_site_fract_y
_atom_site_fract_z
Re1 Re 0.000 0.500 0.250
P1 P 0.000 0.000 0.000
N1 N 0.000 0.000 0.346
```

Relative energy among the computed polymorphs: 0 kJ/mol of formula units
Size of the total moment: 0.00 μB per formula unit
E_form (uncorrected): 0.657 eV/atom
Final energy: -8.735 eV per atom

Here is an optimized crystal structure of SrLi2ZnPd from the Alexandria database. Energies are from PBE.

```
data_SrLi2ZnPd
_space_group_name_H-M_alt 'P 4/m m m'
_space_group_IT_number 123
_space_group_name_Hall '-P 4 2'
_cell_length_a 4.850
_cell_length_b 4.850
_cell_length_c 4.964
_cell_angle_alpha 90.00
_cell_angle_beta 90.00
_cell_angle_gamma 90.00
loop_
_atom_site_label
_atom_site_type_symbol
_atom_site_fract_x
_atom_site_fract_y
_atom_site_fract_z
Sr1 Sr 0.000 0.000 0.000
Li1 Li 0.000 0.500 0.500
Zn1 Zn 0.500 0.500 0.000
Pd1 Pd 0.500 0.500 0.500
```

Relative energy among the computed polymorphs: 0 kJ/mol of formula units
Size of the total moment: 0.00 μB per formula unit
Final energy: -2.632 eV per atom